# CsMoNO2

A relaxed structure of CsMoNO2 (PBE with a Hubbard U, Alexandria via LeMat-Bulk).

Cell: 4.1427 4.1427 4.0811 Å, 90.00 90.00 90.00°
Last column: nearest neighbours and their distance in Å.
Element x y z (fractional)
Cs: 0.0000 0.0000 0.0000  8 O 2.91, 4 N 2.93
Mo: 0.5000 0.5000 0.5000  2 N 2.04, 4 O 2.07
N: 0.5000 0.5000 0.0000  2 Mo 2.04
O: 0.0000 0.5000 0.5000  2 Mo 2.07
O: 0.5000 0.0000 0.5000  2 Mo 2.07

ρ: 6.5 g/cm3
DOS at the Fermi energy: 0.36 states/eV/atom
Final energy: -5.93 eV/atom